# 1
Here is a relaxed structure of Cu3Ag2 from OQMD. Energies are from PBE.

Summary:
- symmetry = C2/m (12)

abc: 4.7112 4.7112 6.0639
angles: 129.75 129.75 48.00
Fractional positions:
Cu1 0.5000 0.5000 0.5000
Cu2 0.7014 0.7014 0.0930
Cu3 0.2986 0.2986 0.9070
Ag1 0.9069 0.9069 0.7012
Ag2 0.0931 0.0931 0.2988


# 2
Here is a relaxed structure of Cu4Ag5 from OQMD. Energies are from PBE.

Summary:
- symmetry = C2/m (12)

abc: 4.8686 4.8686 8.4311
angles: 108.20 108.20 46.96
Fractional positions:
Ag1 0.6739 0.6739 0.5665
Ag2 0.3261 0.3261 0.4335
Ag3 0.0085 0.0085 0.6795
Ag4 0.0000 0.0000 0.0000
Ag5 0.9915 0.9915 0.3205
Cu1 0.3240 0.3240 0.0984
Cu2 0.6760 0.6760 0.9016
Cu3 0.6643 0.6643 0.2072
Cu4 0.3357 0.3357 0.7928


# 3
Here is a relaxed structure of Cu3Ag5 from OQMD. Energies are from PBE.

Summary:
- symmetry = C222 (21)

abc: 4.8727 4.8727 5.6215
angles: 90.00 90.00 109.81
Fractional positions:
Ag1 0.5000 0.5000 0.0000
Ag2 0.5000 0.5000 0.5000
Ag3 0.0000 0.5000 0.2594
Ag4 0.5000 0.0000 0.7406
Ag5 0.0000 0.0000 0.0000
Cu1 0.0000 0.5000 0.7448
Cu2 0.0000 0.0000 0.5000
Cu3 0.5000 0.0000 0.2552


# 4
Here is a relaxed structure of Cu3Ag7 from OQMD. Energies are from PBE.

Summary:
- symmetry = Cmmm (65)

abc: 10.2141 10.2141 3.9994
angles: 90.00 90.00 157.23
Fractional positions:
Cu1 0.2033 0.7967 0.0000
Cu2 0.5000 0.5000 0.5000
Cu3 0.7967 0.2033 0.0000
Ag1 0.2973 0.7027 0.5000
Ag2 0.6012 0.3988 0.0000
Ag3 0.3988 0.6012 0.0000
Ag4 0.8983 0.1017 0.5000
Ag5 0.7027 0.2973 0.5000
Ag6 0.1017 0.8983 0.5000
Ag7 0.0000 0.0000 0.0000


# 5
Here is a relaxed structure of CuAg from OQMD. Energies are from PBE.

Summary:
- symmetry = Pmm2 (25)

abc: 2.7839 3.7666 14.0669
angles: 90.00 90.00 90.00
Fractional positions:
Ag1 0.5000 0.5000 0.1915
Ag2 0.0000 0.0000 0.0773
Ag3 0.0000 0.0000 0.7052
Ag4 0.5000 0.5000 0.4199
Ag5 0.0000 0.0000 0.3059
Cu1 0.5000 0.5000 0.8052
Cu2 0.0000 0.0000 0.8910
Cu3 0.0000 0.0000 0.5187
Cu4 0.5000 0.5000 0.6072
Cu5 0.5000 0.5000 0.9780


# 6
Here is a relaxed structure of Cu3Ag2 from OQMD. Energies are from PBE.

Summary:
- symmetry = P1 (1)

abc: 4.6616 4.7451 7.2056
angles: 71.89 71.66 80.61
Fractional positions:
Ag1 0.4854 0.8990 0.7030
Ag2 0.0016 0.7815 0.4050
Ag3 0.5165 0.7076 0.0927
Ag4 0.4967 0.1169 0.2973
Cu1 0.4990 0.4848 0.5128
Cu2 0.9998 0.0228 0.9910
Cu3 0.0088 0.5770 0.8055
Cu4 0.9822 0.2025 0.6126
Cu5 0.5010 0.3057 0.8931
Cu6 0.0089 0.4023 0.1868


# 7
Here is a relaxed structure of CuAg from OQMD. Energies are from PBE.

Summary:
- symmetry = P2/m (10)

abc: 4.6634 2.8298 11.3093
angles: 90.00 92.49 90.00
Fractional positions:
Ag1 0.2232 0.5000 0.0897
Ag2 0.9116 0.0000 0.6967
Ag3 0.5000 0.0000 0.5000
Ag4 0.0884 0.0000 0.3033
Ag5 0.7768 0.5000 0.9103
Cu1 0.0000 0.5000 0.5000
Cu2 0.2876 0.0000 0.8860
Cu3 0.7124 0.0000 0.1140
Cu4 0.4073 0.5000 0.7052
Cu5 0.5927 0.5000 0.2948


# 8
Here is a relaxed structure of CuAg from OQMD. Energies are from PBE.

Summary:
- symmetry = P-1 (2)

abc: 4.7231 4.8089 7.2660
angles: 72.44 72.57 80.66
Fractional positions:
Cu1 0.5000 0.5000 0.5000
Cu2 0.5137 0.6900 0.0985
Cu3 0.0006 0.4161 0.1865
Cu4 0.4863 0.3100 0.9015
Cu5 0.9994 0.5839 0.8135
Ag1 0.5022 0.8791 0.7086
Ag2 0.0000 0.0000 0.0000
Ag3 0.0123 0.7902 0.3975
Ag4 0.9877 0.2098 0.6025
Ag5 0.4978 0.1209 0.2914


no.,energy (eV per cell),energy of formation from the pure elements (meV/atom)
1,-16.30,101
2,-28.17,91
3,-24.50,97
4,-30.11,81
5,-31.84,87
6,-32.58,102
7,-31.76,95
8,-31.70,101